[1]
Here is a relaxed structure of GaFeNi2C from Alexandria via LeMat-Bulk. Energies are from PBE-GGA.

Geometry as POSCAR:
```
GaFeNi2C
1.0
-1.3662 3.5124 -0.3145
-1.7024 -0.9523 -3.2400
-3.0706 -1.0230 1.9141
Ni C Fe Ga
2 1 1 1
Cartesian
-0.8512 -0.4761 -1.6200
-0.6831 1.7562 -0.1572
0.0000 0.0000 0.0000
-1.5353 -0.5115 0.9571
-3.0697 0.7686 -0.8202
```

Output
Energy of formation from the pure elements in eV/atom: -0.08
Total magnetic moment in μB/f.u.: 1.15
Space-group type: P4/mmm, No. 123
DOS at the Fermi energy in states/eV per cell: 2.608

[2]
Here is a relaxed structure of Ta2Ir3Rh3 from Alexandria via LeMat-Bulk. Energies are from PBE-GGA.

Geometry as POSCAR:
```
Ta2Ir3Rh3
1.0
3.9247 0.0000 0.0000
0.0000 3.9106 0.0000
0.0000 0.0000 7.8071
Ir Rh Ta
3 3 2
Cartesian
0.0000 1.9553 3.9036
0.0000 1.9553 0.0000
1.9624 0.0000 3.9036
1.9624 1.9553 1.9521
1.9624 0.0000 0.0000
1.9624 1.9553 5.8551
0.0000 0.0000 5.8603
0.0000 0.0000 1.9468
```

Output
Energy of formation from the pure elements in eV/atom: -0.65
Total magnetic moment in μB/f.u.: 0.00
Space-group type: Pmmm, No. 47
DOS at the Fermi energy in states/eV per cell: 3.753

[3]
Here is a relaxed structure of LiGeNF2 from Alexandria via LeMat-Bulk. Energies are from PBE-GGA.

Geometry as POSCAR:
```
LiGeNF2
1.0
-3.2095 -2.2293 1.4258
0.3794 -2.6056 -3.2203
2.1711 -1.9520 1.8352
Li Ge N F
1 1 1 2
Cartesian
-0.3295 -3.3935 0.0204
0.0000 0.0000 0.0000
1.0856 -0.9760 0.9176
0.1897 -1.3028 -1.6101
-1.6047 -1.1147 0.7129
```

Output
Formation energy without anion corrections in eV/atom: -1.184
Energy above the most stable polymorph in this dataset in eV/atom: 0.000
Total magnetic moment in μB/f.u.: 0.00
Space-group type: P4/mmm, No. 123
DOS at the Fermi energy in states/eV per cell: 0.258

[4]
Here is a relaxed structure of Ac6Tb2Nd from Alexandria via LeMat-Bulk. Energies are from PBE-GGA.

Geometry as POSCAR:
```
Ac6Tb2Nd
1.0
7.6610 -0.9982 0.8909
1.1953 9.7978 1.1577
-0.9631 0.9836 9.8423
Ac Nd Tb
12 2 4
Cartesian
1.5429 6.4058 1.9649
6.7557 3.3909 5.1860
1.1375 6.3923 6.7049
5.4052 5.4206 2.2564
0.4844 1.4672 6.1980
6.3503 3.3774 9.9260
4.2043 1.1325 7.1143
7.4088 8.3160 5.6929
2.9408 3.9535 4.6780
2.4880 4.3626 9.6345
3.6888 8.6507 4.7766
4.9524 5.8297 7.2129
1.0208 1.0144 9.7888
6.8723 8.7688 2.1021
3.1783 8.1810 9.1738
0.8652 2.0229 2.3489
4.7149 1.6022 2.7171
7.0279 7.7603 9.5420
```

Output
Energy of formation from the pure elements in eV/atom: 0.16
Total magnetic moment in μB/f.u.: 0.00
Space-group type: C2/c, No. 15
DOS at the Fermi energy in states/eV per cell: 30.715

[5]
Here is a relaxed structure of MgGe2Pd4 from Alexandria via LeMat-Bulk. Energies are from PBE-GGA.

Geometry as POSCAR:
```
MgGe2Pd4
1.0
-3.1113 -0.4758 3.4306
3.2670 -1.9343 2.6947
1.6345 4.4916 5.2645
Pd Mg Ge
4 1 2
Cartesian
0.7870 -0.0996 7.0183
1.0031 2.1811 4.3715
1.6335 -0.9672 1.3473
-1.5557 -0.2379 1.7153
0.0000 0.0000 0.0000
0.4178 0.0392 3.5436
1.3723 2.0423 7.8462
```

Output
Energy of formation from the pure elements in eV/atom: 0.17
Energy above the most stable polymorph in this dataset in eV/atom: 0.705
Total magnetic moment in μB/f.u.: 0.00
Space-group type: I4/mmm, No. 139
DOS at the Fermi energy in states/eV per cell: 5.130

[6]
Here is a relaxed structure of AgTe2Rh from Alexandria via LeMat-Bulk. Energies are from PBE-GGA.

Geometry as POSCAR:
```
AgTe2Rh
1.0
0.0481 -4.4954 2.1301
-4.1987 -2.6499 0.3115
-0.5792 -4.0796 -2.7874
Te Ag Rh
2 1 1
Cartesian
-1.1825 -2.8062 -0.0865
0.0000 0.0000 0.0000
-2.3649 -5.6124 -0.1729
-3.5474 -8.4186 -0.2594
```

Output
Formation energy without anion corrections in eV/atom: 0.475
Total magnetic moment in μB/f.u.: 0.00
Space-group type: F-43m, No. 216
DOS at the Fermi energy in states/eV per cell: 2.291